Be2InSe | GGA-PBEsol | relaxed

Values from the calculation:
For the uncorrected formation energy, the calculation gives 47.31 kJ/mol of atoms. Its crystal system is monoclinic.

Cell and atoms, written as CIF:
```
data_Be2InSe
_chemical_formula_sum 'Be4 In2 Se2'
_space_group_name_H-M_alt 'C 1 2/m 1'
_space_group_IT_number 12
_space_group_name_Hall '-C 2y'
_cell_length_a 5.6216
_cell_length_b 7.1085
_cell_length_c 3.4785
_cell_angle_alpha 90.00
_cell_angle_beta 109.28
_cell_angle_gamma 90.00
loop_
_atom_site_label
_atom_site_type_symbol
_atom_site_fract_x
_atom_site_fract_y
_atom_site_fract_z
Be1 Be 0.2500 0.2500 0.0000
In1 In 0.0000 0.0000 0.5000
Se1 Se 0.0000 0.5000 0.5000
```

=====

RbNa2Bi2 | GGA-PBEsol | relaxed

Values from the calculation:
As for the energy of formation from the pure elements: -284.9 meV/atom. Its crystal system is tetragonal.

Cell and atoms, written as CIF:
```
data_RbNa2Bi2
_chemical_formula_sum 'Rb2 Na4 Bi4'
_space_group_name_H-M_alt 'P 4/m b m'
_space_group_IT_number 127
_space_group_name_Hall '-P 4 2ab'
_cell_length_a 9.8690
_cell_length_b 9.8690
_cell_length_c 3.3985
_cell_angle_alpha 90.00
_cell_angle_beta 90.00
_cell_angle_gamma 90.00
loop_
_atom_site_label
_atom_site_type_symbol
_atom_site_fract_x
_atom_site_fract_y
_atom_site_fract_z
Rb1 Rb 0.0000 0.0000 0.0000
Na1 Na 0.1291 0.3709 0.5000
Bi1 Bi 0.1621 0.6621 0.0000
```

=====

CaSbMo | GGA-PBEsol | relaxed

Values from the calculation:
For the uncorrected formation energy, the calculation gives 105.58 kJ/mol of atoms. Its crystal system is cubic.

Cell and atoms, written as CIF:
```
data_CaSbMo
_chemical_formula_sum 'Ca4 Sb4 Mo4'
_space_group_name_H-M_alt 'F -4 3 m'
_space_group_IT_number 216
_space_group_name_Hall 'F -4 2 3'
_cell_length_a 6.9466
_cell_length_b 6.9466
_cell_length_c 6.9466
_cell_angle_alpha 90.00
_cell_angle_beta 90.00
_cell_angle_gamma 90.00
loop_
_atom_site_label
_atom_site_type_symbol
_atom_site_fract_x
_atom_site_fract_y
_atom_site_fract_z
Ca1 Ca 0.0000 0.0000 0.0000
Sb1 Sb 0.2500 0.2500 0.2500
Mo1 Mo 0.2500 0.2500 0.7500
```

=====

Question: What is the formula in the third record?
Answer: CaSbMo